Record 1
VASP calculation (GGA-PBE) on K3Sm2ZrO6 after structural relaxation.

a b c (Å): 6.0423 6.0423 6.5932
angles (deg): 98.79 98.79 120.01
Last column: nearest neighbours and their distance in Å.
Fractional coordinates of all 12 atoms:
K (0.0000, 0.0000, 0.0000)  6 O 2.76-2.92
K (0.3348, 0.6652, 0.0000)  6 O 2.76-2.93
K (0.6652, 0.3348, 0.0000)  6 O 2.76-2.93
Sm (0.1668, 0.8332, 0.5000)  6 O 2.40
Sm (0.8332, 0.1668, 0.5000)  6 O 2.40
Zr (0.5000, 0.5000, 0.5000)  6 O 2.21
O (0.1277, 0.4371, 0.3126)  1 Zr 2.21, 2 Sm 2.40
O (0.2527, 0.2527, 0.6869)  1 Zr 2.21, 2 Sm 2.40
O (0.4371, 0.1277, 0.3126)  1 Zr 2.21, 2 Sm 2.40
O (0.5629, 0.8723, 0.6874)  1 Zr 2.21, 2 Sm 2.40
O (0.7473, 0.7473, 0.3131)  1 Zr 2.21, 2 Sm 2.40
O (0.8723, 0.5629, 0.6874)  1 Zr 2.21, 2 Sm 2.40

Properties
- calculated total energy (eV per cell) = -81.6
- total magnetization (μB/f.u.) = 0.00
- ΔE_f (raw) (eV/f.u.) = -30.53
- volume (Å³/atom) = 16.5
- space group = C2/m (12)
- DOS(E_F) (states/eV/cell) = 3.6



Record 2
VASP calculation (GGA-PBE) on K5SnO4 after structural relaxation.

a b c (Å): 8.1800 8.8744 6.3936
angles (deg): 90.00 90.00 90.00
Last column: nearest neighbours and their distance in Å.
Fractional coordinates of all 20 atoms:
K (0.0088, 0.0615, 0.2395)  4 O 2.72-2.90
K (0.0088, 0.4385, 0.2395)  4 O 2.72-2.90
K (0.2500, 0.7500, 0.3182)  2 O 2.69
K (0.4912, 0.0615, 0.2395)  4 O 2.72-2.90
K (0.4912, 0.4385, 0.2395)  4 O 2.72-2.90
K (0.5088, 0.5615, 0.7605)  4 O 2.72-2.90
K (0.5088, 0.9385, 0.7605)  4 O 2.72-2.90
K (0.7500, 0.2500, 0.6818)  2 O 2.69
K (0.9912, 0.5615, 0.7605)  4 O 2.72-2.90
K (0.9912, 0.9385, 0.7605)  4 O 2.72-2.90
Sn (0.2500, 0.2500, 0.7083)  4 O 2.05-2.06
Sn (0.7500, 0.7500, 0.2917)  4 O 2.05-2.06
O (0.0387, 0.2500, 0.8817)  1 Sn 2.05
O (0.2500, 0.0546, 0.5330)  1 Sn 2.06
O (0.2500, 0.4454, 0.5330)  1 Sn 2.06
O (0.4613, 0.2500, 0.8817)  1 Sn 2.05
O (0.5387, 0.7500, 0.1183)  1 Sn 2.05
O (0.7500, 0.5546, 0.4670)  1 Sn 2.06
O (0.7500, 0.9454, 0.4670)  1 Sn 2.06
O (0.9613, 0.7500, 0.1183)  1 Sn 2.05

Properties
- calculated total energy (eV per cell) = -84.5
- total magnetization (μB/f.u.) = 0.00
- ΔE_f (raw) (eV/f.u.) = -12.93
- volume (Å³/atom) = 23.2
- space group = Pmmn (59)
- DOS(E_F) (states/eV/cell) = 2.9



- What is the DOS(E_F) in the first record?
  3.6 states/eV/cell